# 1
Here is crystalline Pr4GaHg at its relaxed geometry from Alexandria via LeMat-Bulk. Energies are from PBE-GGA.

Results
Energy relative to the elements = -0.13 eV per atom
SG = P2/m, No. 10

a = 5.7831 Å, b = 3.9743 Å, c = 8.4875 Å
α = 90.00°, β = 90.06°, γ = 90.00°
Closest atoms and distances in Å follow each position.
Sites, in units of the cell vectors:
Pr 0.0008 0.0000 0.2237  2 Ga 3.07
Pr 0.4990 0.5000 0.7055  2 Hg 3.19, 2 Ga 3.37-3.38, 5 Pr 3.49-3.56
Pr 0.5010 0.5000 0.2945  2 Hg 3.19, 2 Ga 3.37-3.38, 5 Pr 3.49-3.56
Pr 0.9992 0.0000 0.7763  2 Ga 3.07
Ga 0.0000 0.5000 0.5000  8 Pr 3.07-3.38
Hg 0.5000 0.0000 0.0000  8 Pr 3.19-3.46

# 2
Here is crystalline Pr2GaHg3 at its relaxed geometry from Alexandria via LeMat-Bulk. Energies are from PBE-GGA.

Results
Energy relative to the elements = -0.47 eV per atom
SG = Fmmm, No. 69

a = 9.7817 Å, b = 9.2634 Å, c = 6.1388 Å
α = 75.85°, β = 66.67°, γ = 37.48°
Closest atoms and distances in Å follow each position.
Sites, in units of the cell vectors:
Pr 0.2425 0.7575 0.7575  10 Hg 3.37-3.42, 2 Ga 3.41, 1 Pr 3.62
Pr 0.2500 0.2500 0.2500  8 Hg 3.35-3.36, 4 Ga 3.38, 2 Pr 3.73
Pr 0.7500 0.7500 0.7500  8 Hg 3.35-3.36, 4 Ga 3.38, 2 Pr 3.73
Pr 0.7575 0.2425 0.2425  10 Hg 3.37-3.42, 2 Ga 3.41, 1 Pr 3.62
Ga 0.3338 0.3338 0.6662  3 Hg 2.73-2.76
Ga 0.6662 0.6662 0.3338  3 Hg 2.73-2.76
Hg 0.1711 0.1711 0.8289  1 Ga 2.76, 2 Hg 2.91
Hg 0.1727 0.6567 0.3433  1 Ga 2.73, 2 Hg 2.89-2.91
Hg 0.3433 0.8273 0.1727  1 Ga 2.73, 2 Hg 2.89-2.91
Hg 0.6567 0.1727 0.8273  1 Ga 2.73, 2 Hg 2.89-2.91
Hg 0.8273 0.3433 0.6567  1 Ga 2.73, 2 Hg 2.89-2.91
Hg 0.8289 0.8289 0.1711  1 Ga 2.76, 2 Hg 2.91

# 3
Here is crystalline Pr6Ga5Hg at its relaxed geometry from Alexandria via LeMat-Bulk. Energies are from PBE-GGA.

Results
Energy relative to the elements = -0.52 eV per atom
SG = Cmmm, No. 65

a = 8.3990 Å, b = 8.3990 Å, c = 7.5066 Å
α = 90.00°, β = 90.00°, γ = 143.08°
Closest atoms and distances in Å follow each position.
Sites, in units of the cell vectors:
Pr 0.0000 0.0000 0.2452  6 Ga 3.21-3.23, 2 Hg 3.28
Pr 0.0000 0.0000 0.7548  6 Ga 3.21-3.23, 2 Hg 3.28
Pr 0.3307 0.6693 0.2479  7 Ga 3.22-3.28, 1 Hg 3.30
Pr 0.3307 0.6693 0.7521  7 Ga 3.22-3.28, 1 Hg 3.30
Pr 0.6693 0.3307 0.2479  7 Ga 3.22-3.28, 1 Hg 3.30
Pr 0.6693 0.3307 0.7521  7 Ga 3.22-3.28, 1 Hg 3.30
Ga 0.1630 0.8370 0.5000  8 Pr 3.22-3.27
Ga 0.1654 0.8346 0.0000  8 Pr 3.21-3.25
Ga 0.5000 0.5000 0.0000  8 Pr 3.23-3.28
Ga 0.8346 0.1654 0.0000  8 Pr 3.21-3.25
Ga 0.8370 0.1630 0.5000  8 Pr 3.22-3.27
Hg 0.5000 0.5000 0.5000  8 Pr 3.28-3.30

# 4
Here is crystalline Pr3Ga4Hg2 at its relaxed geometry from Alexandria via LeMat-Bulk. Energies are from PBE-GGA.

Results
Energy relative to the elements = -0.56 eV per atom
SG = C2/m, No. 12

a = 6.0816 Å, b = 6.0816 Å, c = 8.9638 Å
α = 106.86°, β = 106.86°, γ = 44.37°
Closest atoms and distances in Å follow each position.
Sites, in units of the cell vectors:
Pr 0.0000 0.0000 0.0000  8 Ga 3.18-3.56, 4 Hg 3.25
Pr 0.3266 0.3266 0.3349  6 Ga 3.13-3.48, 4 Hg 3.29-3.39
Pr 0.6734 0.6734 0.6651  6 Ga 3.13-3.48, 4 Hg 3.29-3.39
Ga 0.0701 0.0701 0.4153  1 Ga 2.51, 2 Hg 2.72
Ga 0.2997 0.2997 0.9767  2 Ga 2.64, 1 Hg 2.78
Ga 0.7003 0.7003 0.0233  2 Ga 2.64, 1 Hg 2.78
Ga 0.9299 0.9299 0.5847  1 Ga 2.51, 2 Hg 2.72
Hg 0.4021 0.4021 0.7324  3 Ga 2.72-2.78
Hg 0.5979 0.5979 0.2676  3 Ga 2.72-2.78

# 5
Here is crystalline Pr2GaHg3 at its relaxed geometry from Alexandria via LeMat-Bulk. Energies are from PBE-GGA.

Results
Energy relative to the elements = -0.38 eV per atom
SG = Imm2, No. 44

a = 9.0864 Å, b = 9.0864 Å, c = 9.0864 Å
α = 153.23°, β = 150.95°, γ = 39.91°
Closest atoms and distances in Å follow each position.
Sites, in units of the cell vectors:
Pr 0.0000 0.0000 0.0000  4 Ga 3.30, 6 Hg 3.45-3.47
Pr 0.7742 0.2742 0.5000  8 Hg 3.34-3.48, 2 Ga 3.56
Ga 0.4340 0.4340 0.0000  3 Hg 2.58-2.63
Hg 0.1820 0.6820 0.5000  3 Hg 2.79-2.81
Hg 0.3468 0.8468 0.5000  2 Ga 2.58, 1 Hg 2.81
Hg 0.5882 0.5882 0.0000  1 Ga 2.63, 2 Hg 2.79

# 6
Here is crystalline Pr4Ga2Hg at its relaxed geometry from Alexandria via LeMat-Bulk. Energies are from PBE-GGA.

Results
Energy relative to the elements = -0.28 eV per atom
SG = R-3m, No. 166

a = 9.6124 Å, b = 9.6124 Å, c = 9.6124 Å
α = 31.56°, β = 31.56°, γ = 31.56°
Closest atoms and distances in Å follow each position.
Sites, in units of the cell vectors:
Pr 0.1199 0.1199 0.1199  3 Hg 3.28, 3 Ga 3.31
Pr 0.2929 0.2929 0.2929  4 Ga 3.03-3.13
Pr 0.7071 0.7071 0.7071  4 Ga 3.03-3.13
Pr 0.8801 0.8801 0.8801  3 Hg 3.28, 3 Ga 3.31
Ga 0.4034 0.4034 0.4034  1 Hg 2.64
Ga 0.5966 0.5966 0.5966  1 Hg 2.64
Hg 0.5000 0.5000 0.5000  2 Ga 2.64

# 7
Here is crystalline Pr5GaHg2 at its relaxed geometry from Alexandria via LeMat-Bulk. Energies are from PBE-GGA.

Results
Energy relative to the elements = -0.37 eV per atom
SG = Pbam, No. 55

a = 6.8603 Å, b = 13.0778 Å, c = 5.3551 Å
α = 90.00°, β = 90.00°, γ = 90.00°
Closest atoms and distances in Å follow each position.
Sites, in units of the cell vectors:
Pr 0.0000 0.0000 0.0000  4 Hg 3.37, 2 Ga 3.43, 2 Pr 3.67
Pr 0.1451 0.3983 0.5000  2 Ga 3.15, 2 Hg 3.22-3.31, 1 Pr 3.32
Pr 0.1623 0.7174 0.0000  1 Ga 3.05, 2 Hg 3.25
Pr 0.3377 0.2174 0.0000  1 Ga 3.05, 2 Hg 3.25
Pr 0.3549 0.8983 0.5000  2 Ga 3.15, 2 Hg 3.22-3.31, 1 Pr 3.32
Pr 0.5000 0.5000 0.0000  4 Hg 3.37, 2 Ga 3.43, 2 Pr 3.67
Pr 0.6451 0.1017 0.5000  2 Ga 3.15, 2 Hg 3.22-3.31, 1 Pr 3.32
Pr 0.6623 0.7826 0.0000  1 Ga 3.05, 2 Hg 3.25
Pr 0.8377 0.2826 0.0000  1 Ga 3.05, 2 Hg 3.25
Pr 0.8549 0.6017 0.5000  2 Ga 3.15, 2 Hg 3.22-3.31, 1 Pr 3.32
Ga 0.0000 0.5000 0.0000  6 Pr 3.05-3.15
Ga 0.5000 0.0000 0.0000  6 Pr 3.05-3.15
Hg 0.1062 0.1457 0.5000  6 Pr 3.22-3.37
Hg 0.3938 0.6457 0.5000  6 Pr 3.22-3.37
Hg 0.6062 0.3543 0.5000  6 Pr 3.22-3.37
Hg 0.8938 0.8543 0.5000  6 Pr 3.22-3.37

# 8
Here is crystalline Pr2Ga2Hg3 at its relaxed geometry from Alexandria via LeMat-Bulk. Energies are from PBE-GGA.

Results
Energy relative to the elements = -0.41 eV per atom
SG = Cmmm, No. 65

a = 11.2529 Å, b = 11.2529 Å, c = 3.7213 Å
α = 90.00°, β = 90.00°, γ = 157.99°
Closest atoms and distances in Å follow each position.
Sites, in units of the cell vectors:
Pr 0.1585 0.8415 0.0000  6 Ga 3.14-3.29, 5 Hg 3.43-3.50
Pr 0.8415 0.1585 0.0000  6 Ga 3.14-3.29, 5 Hg 3.43-3.50
Ga 0.2813 0.7187 0.5000  2 Ga 2.55
Ga 0.7187 0.2813 0.5000  2 Ga 2.55
Hg 0.0000 0.0000 0.0000  8 Hg 3.25, 2 Pr 3.50
Hg 0.4282 0.5718 0.5000  5 Hg 3.17-3.25, 1 Ga 3.25, 4 Pr 3.43
Hg 0.5718 0.4282 0.5000  5 Hg 3.17-3.25, 1 Ga 3.25, 4 Pr 3.43

# 9
Here is crystalline Pr5GaHg4 at its relaxed geometry from Alexandria via LeMat-Bulk. Energies are from PBE-GGA.

Results
Energy relative to the elements = -0.48 eV per atom
SG = P4/mmm, No. 123

a = 3.8280 Å, b = 3.8280 Å, c = 19.2977 Å
α = 90.00°, β = 90.00°, γ = 90.00°
Closest atoms and distances in Å follow each position.
Sites, in units of the cell vectors:
Pr 0.0000 0.0000 0.0000  8 Hg 3.34
Pr 0.0000 0.0000 0.2036  8 Hg 3.35
Pr 0.0000 0.0000 0.4078  4 Ga 3.24, 4 Hg 3.35, 1 Pr 3.56
Pr 0.0000 0.0000 0.5922  4 Ga 3.24, 4 Hg 3.35, 1 Pr 3.56
Pr 0.0000 0.0000 0.7964  8 Hg 3.35
Ga 0.5000 0.5000 0.5000  8 Pr 3.24
Hg 0.5000 0.5000 0.1015  8 Pr 3.34-3.35
Hg 0.5000 0.5000 0.3056  8 Pr 3.35
Hg 0.5000 0.5000 0.6944  8 Pr 3.35
Hg 0.5000 0.5000 0.8985  8 Pr 3.34-3.35

# 10
Here is crystalline PrGaHg2 at its relaxed geometry from Alexandria via LeMat-Bulk. Energies are from PBE-GGA.

Results
Energy relative to the elements = -0.38 eV per atom
SG = Cmcm, No. 63

a = 9.1485 Å, b = 9.1485 Å, c = 9.7018 Å
α = 90.00°, β = 90.00°, γ = 151.18°
Closest atoms and distances in Å follow each position.
Sites, in units of the cell vectors:
Pr 0.0000 0.0000 0.0000  4 Ga 3.42, 10 Hg 3.47-3.77
Pr 0.0000 0.0000 0.5000  4 Ga 3.42, 10 Hg 3.47-3.77
Pr 0.2002 0.7998 0.7500  4 Ga 3.29, 9 Hg 3.32-3.53
Pr 0.7998 0.2002 0.2500  4 Ga 3.29, 9 Hg 3.32-3.53
Ga 0.3572 0.6428 0.0288  4 Hg 2.65-2.81
Ga 0.3572 0.6428 0.4712  4 Hg 2.65-2.81
Ga 0.6428 0.3572 0.5288  4 Hg 2.65-2.81
Ga 0.6428 0.3572 0.9712  4 Hg 2.65-2.81
Hg 0.1934 0.8066 0.0953  3 Ga 2.73-2.97, 1 Hg 3.00
Hg 0.1934 0.8066 0.4047  3 Ga 2.73-2.97, 1 Hg 3.00
Hg 0.3994 0.6006 0.7500  1 Hg 2.76, 2 Ga 2.81
Hg 0.4447 0.5553 0.2500  2 Ga 2.65, 1 Hg 2.76
Hg 0.5553 0.4447 0.7500  2 Ga 2.65, 1 Hg 2.76
Hg 0.6006 0.3994 0.2500  1 Hg 2.76, 2 Ga 2.81
Hg 0.8066 0.1934 0.5953  3 Ga 2.73-2.97, 1 Hg 3.00
Hg 0.8066 0.1934 0.9047  3 Ga 2.73-2.97, 1 Hg 3.00